# 1
Here is an optimized crystal structure of Tb4PrHo10 from the Alexandria database. Energies are from GGA-PBE.

Structure (CIF):
```
data_Tb4PrHo10
_chemical_formula_sum 'Tb8 Pr2 Ho20'
_symmetry_space_group_name_H-M 'I 4/m'
_symmetry_Int_Tables_number 87
_symmetry_space_group_name_Hall '-I 4'
_cell_length_a 9.7772
_cell_length_b 9.7772
_cell_length_c 10.7630
_cell_angle_alpha 90.00
_cell_angle_beta 90.00
_cell_angle_gamma 90.00
loop_
_atom_site_label
_atom_site_fract_x
_atom_site_fract_y
_atom_site_fract_z
Tb1 0.0538 0.7107 0.0000
Pr1 0.0000 0.0000 0.5000
Ho1 0.0000 0.5000 0.2500
Ho2 0.1221 0.7809 0.3304
```

The calculation puts the total moment at 0.0 Bohr magnetons per cell. The formation energy comes out at 0.475 eV per atom.



# 2
Here is an optimized crystal structure of BaFe3As3 from the Alexandria database. Energies are from GGA-PBE.

Structure (CIF):
```
data_BaFe3As3
_chemical_formula_sum 'Ba2 Fe6 As6'
_symmetry_space_group_name_H-M 'P 63/m'
_symmetry_Int_Tables_number 176
_symmetry_space_group_name_Hall '-P 6c'
_cell_length_a 8.8098
_cell_length_b 8.8098
_cell_length_c 4.1147
_cell_angle_alpha 90.00
_cell_angle_beta 90.00
_cell_angle_gamma 120.00
loop_
_atom_site_label
_atom_site_fract_x
_atom_site_fract_y
_atom_site_fract_z
Ba1 0.3333 0.6667 0.2500
Fe1 0.0391 0.8583 0.2500
As1 0.0720 0.7315 0.7500
```

The calculation puts the total moment at 1.7 Bohr magnetons per cell. The formation energy comes out at -0.429 eV per atom.



# 3
Here is an optimized crystal structure of La4PmTm7 from the Alexandria database. Energies are from GGA-PBE.

Structure (CIF):
```
data_La4PmTm7
_chemical_formula_sum 'La8 Pm2 Tm14'
_symmetry_space_group_name_H-M 'C 1 2/m 1'
_symmetry_Int_Tables_number 12
_cell_length_a 12.1316
_cell_length_b 5.9104
_cell_length_c 12.8904
_cell_angle_alpha 90.00
_cell_angle_beta 117.64
_cell_angle_gamma 90.00
loop_
_symmetry_equiv_pos_as_xyz
'x,y,z'
'-x,-y,-z'
'-x,y,-z'
'x,-y,z'
'x+1/2,y+1/2,z'
'-x+1/2,-y+1/2,-z'
'-x+1/2,y+1/2,-z'
'x+1/2,-y+1/2,z'
loop_
_atom_site_label
_atom_site_fract_x
_atom_site_fract_y
_atom_site_fract_z
La1 0.1345 0.0000 0.2780
La2 0.2153 0.5000 0.1599
Pm1 0.0000 0.5000 0.5000
Tm1 0.0000 0.0000 0.5000
Tm2 0.0722 0.5000 0.8090
Tm3 0.1332 0.0000 0.9933
Tm4 0.2110 0.5000 0.4240
```

The calculation puts the total moment at 0.0 Bohr magnetons per cell. The formation energy comes out at 0.249 eV per atom.



# 4
Here is an optimized crystal structure of SrZnP2Cl from the Alexandria database. Energies are from GGA-PBE.

Structure (CIF):
```
data_SrZnP2Cl
_chemical_formula_sum 'Sr1 Zn1 P2 Cl1'
_symmetry_space_group_name_H-M 'P 4/m m m'
_symmetry_Int_Tables_number 123
_symmetry_space_group_name_Hall '-P 4 2'
_cell_length_a 4.5640
_cell_length_b 4.5640
_cell_length_c 5.7882
_cell_angle_alpha 90.00
_cell_angle_beta 90.00
_cell_angle_gamma 90.00
loop_
_atom_site_label
_atom_site_fract_x
_atom_site_fract_y
_atom_site_fract_z
Sr1 0.0000 0.0000 0.0000
Zn1 0.5000 0.5000 0.5000
P1 0.0000 0.5000 0.5000
Cl1 0.5000 0.5000 0.0000
```

Its raw formation energy is -410 meV/atom. The calculation puts the total moment at 0.0 Bohr magnetons per cell. Its energy above the lowest structure with this stoichiometry is 0.0 meV per atom.



# 5
Here is an optimized crystal structure of PrSmSi from the Alexandria database. Energies are from GGA-PBE.

Structure (CIF):
```
data_PrSmSi
_chemical_formula_sum 'Pr4 Sm4 Si4'
_symmetry_space_group_name_H-M 'F -4 3 m'
_symmetry_Int_Tables_number 216
_symmetry_space_group_name_Hall 'F -4 2 3'
_cell_length_a 7.0971
_cell_length_b 7.0971
_cell_length_c 7.0971
_cell_angle_alpha 90.00
_cell_angle_beta 90.00
_cell_angle_gamma 90.00
loop_
_atom_site_label
_atom_site_fract_x
_atom_site_fract_y
_atom_site_fract_z
Pr1 0.0000 0.0000 0.0000
Sm1 0.0000 0.0000 0.5000
Si1 0.2500 0.2500 0.2500
```

Its raw formation energy is -436 meV/atom. The calculation puts the total moment at 0.0 Bohr magnetons per cell. Its energy above the lowest structure with this stoichiometry is 71.6 meV per atom.



# 6
Here is an optimized crystal structure of Cr2PRh from the Alexandria database. Energies are from GGA-PBE.

Structure (CIF):
```
data_Cr2PRh
_chemical_formula_sum 'Cr4 P2 Rh2'
_symmetry_space_group_name_H-M 'C 1 m 1'
_symmetry_Int_Tables_number 8
_cell_length_a 8.3944
_cell_length_b 2.9257
_cell_length_c 4.3343
_cell_angle_alpha 90.00
_cell_angle_beta 106.02
_cell_angle_gamma 90.00
loop_
_symmetry_equiv_pos_as_xyz
'x,y,z'
'x,-y,z'
'x+1/2,y+1/2,z'
'x+1/2,-y+1/2,z'
loop_
_atom_site_label
_atom_site_fract_x
_atom_site_fract_y
_atom_site_fract_z
Cr1 0.0000 0.0000 0.0000
Cr2 0.2407 0.5000 0.1309
P1 0.2540 0.0000 0.6699
Rh1 0.0176 0.5000 0.5153
```

The calculation puts the total moment at 1.1 Bohr magnetons per cell. The formation energy comes out at -0.180 eV per atom.



# 7
Here is an optimized crystal structure of TiOsO2 from the Alexandria database. Energies are from GGA-PBE.

Structure (CIF):
```
data_TiOsO2
_chemical_formula_sum 'Ti3 Os3 O6'
_symmetry_space_group_name_H-M 'R -3 m'
_symmetry_Int_Tables_number 166
_symmetry_space_group_name_Hall '-R 3 2"'
_cell_length_a 3.4111
_cell_length_b 3.4111
_cell_length_c 15.3080
_cell_angle_alpha 90.00
_cell_angle_beta 90.00
_cell_angle_gamma 120.00
loop_
_atom_site_label
_atom_site_fract_x
_atom_site_fract_y
_atom_site_fract_z
Ti1 0.0000 0.0000 0.0000
Os1 0.0000 0.0000 0.5000
O1 0.0000 0.0000 0.1248
```

Its raw formation energy is -734 meV/atom. The calculation puts the total moment at 2.4 Bohr magnetons per cell. Its energy above the lowest structure with this stoichiometry is 851.9 meV per atom.



# 8
Here is an optimized crystal structure of V2NiPdN from the Alexandria database. Energies are from GGA-PBE.

Structure (CIF):
```
data_V2NiPdN
_chemical_formula_sum 'V2 Ni1 Pd1 N1'
_symmetry_space_group_name_H-M 'P 4/m m m'
_symmetry_Int_Tables_number 123
_symmetry_space_group_name_Hall '-P 4 2'
_cell_length_a 3.9229
_cell_length_b 3.9229
_cell_length_c 3.8373
_cell_angle_alpha 90.00
_cell_angle_beta 90.00
_cell_angle_gamma 90.00
loop_
_atom_site_label
_atom_site_fract_x
_atom_site_fract_y
_atom_site_fract_z
V1 0.0000 0.5000 0.0000
Ni1 0.0000 0.0000 0.5000
Pd1 0.5000 0.5000 0.5000
N1 0.0000 0.0000 0.0000
```

Its raw formation energy is -445 meV/atom. The calculation puts the total moment at 0.0 Bohr magnetons per cell.